1.
The following is a PBE calculation of a relaxed structure of NiBiP3, from Alexandria.

The structure in extended XYZ format:
```
5
Lattice="-1.894 -2.699 0.306 2.790 -4.499 -3.499 3.564 -4.355 2.901" Properties=species:S:1:pos:R:3 pbc="T T T"
Ni -0.642 -3.772 0.875
P 1.779 -7.764 -0.470
P -0.326 -2.118 -0.483
P 3.735 -7.019 0.315
Bi 2.099 -3.607 1.135
```

Results
The calculation puts the energy above the most stable polymorph in this dataset at 0.081 eV/atom. The total magnetization comes out at 0.00 μB per formula unit. For the formation energy, the calculation gives 0.00 eV/atom. Its calculated density is 5430 kg/m3.



2.
The following is a PBE calculation of a relaxed structure of HfTl2Re, from Alexandria.

The structure in extended XYZ format:
```
4
Lattice="2.639 -1.753 3.642 -2.062 -2.808 3.341 1.046 -4.709 0.174" Properties=species:S:1:pos:R:3 pbc="T T T"
Re 0.811 -4.635 3.579
Hf 0.000 0.000 0.000
Tl 1.217 -6.953 5.368
Tl 0.406 -2.318 1.789
```

Results
The calculation puts the energy above the most stable polymorph in this dataset at 0.000 eV/atom. The total magnetization comes out at 0.00 μB per formula unit. For the formation energy, the calculation gives 0.70 eV/atom. Its calculated density is 16149 kg/m3.



3.
The following is a PBE calculation of a relaxed structure of K2HfI4Br2, from Alexandria.

The structure in extended XYZ format:
```
9
Lattice="-2.721 6.955 -3.365 -7.635 2.450 0.969 -1.388 6.585 4.465" Properties=species:S:1:pos:R:3 pbc="T T T"
Br -9.146 12.585 1.456
Br -2.599 3.406 0.614
I -3.365 7.290 2.373
I -5.195 10.809 1.480
I -6.550 5.181 0.590
I -8.380 8.701 -0.303
K -4.271 7.510 -1.253
K -7.474 8.480 3.323
Hf -1.361 3.478 -1.682
```

Results
The total magnetization comes out at 0.00 μB per formula unit. Its calculated density is 4113 kg/m3. As for the uncorrected formation energy: -1.31 eV/atom.



4.
The following is a PBE calculation of a relaxed structure of NdSmNbN3, from Alexandria.

The structure in extended XYZ format:
```
12
Lattice="-1.662 0.184 2.961 3.822 -4.731 2.440 5.823 7.234 2.819" Properties=species:S:1:pos:R:3 pbc="T T T"
Nd 6.055 1.855 6.213
Nd 1.929 0.832 2.007
N 1.095 -0.848 3.597
N 5.701 0.075 4.172
N 4.474 5.287 3.159
N 3.509 -2.601 5.061
N 2.283 2.611 4.048
N 6.889 3.535 4.624
Sm 2.816 -2.402 2.707
Sm 5.167 5.088 5.513
Nb 4.495 -0.929 5.510
Nb 3.489 3.615 2.710
```

Results
The total magnetization comes out at 0.00 μB per formula unit. Its calculated density is 6617 kg/m3. As for the uncorrected formation energy: -1.02 eV/atom.



5.
The following is a PBE calculation of a relaxed structure of Nd3Y3TmTe8, from Alexandria.

The structure in extended XYZ format:
```
15
Lattice="8.796 0.000 0.000 -4.398 7.618 -0.027 0.000 -5.053 7.266" Properties=species:S:1:pos:R:3 pbc="T T T"
Y 2.199 1.282 3.620
Y 4.398 -2.527 3.633
Y -2.199 1.282 3.620
Nd 2.199 3.809 -0.013
Nd 0.000 0.000 0.000
Nd -2.199 3.809 -0.013
Te 4.398 2.513 1.857
Te 0.000 2.546 1.880
Te 2.227 -1.247 1.870
Te 0.000 0.051 5.383
Te -2.171 3.811 5.369
Te 2.171 3.811 5.369
Te 4.398 0.019 5.360
Te 6.569 -1.247 1.870
Tm 0.000 -2.527 3.633
```

Results
The total magnetization comes out at 0.00 μB per formula unit. Its calculated density is 6459 kg/m3. As for the uncorrected formation energy: -1.41 eV/atom.



6.
The following is a PBE calculation of a relaxed structure of PrErMgTc, from Alexandria.

The structure in extended XYZ format:
```
4
Lattice="-0.901 4.789 -1.537 -4.806 1.655 -0.519 -1.892 3.425 3.286" Properties=species:S:1:pos:R:3 pbc="T T T"
Er -1.900 2.467 0.307
Mg 0.000 0.000 0.000
Pr -5.699 7.401 0.922
Tc -3.799 4.934 0.615
```

Results
The total magnetization comes out at 0.00 μB per formula unit. For the formation energy, the calculation gives 0.06 eV/atom. Its calculated density is 7579 kg/m3.



7.
The following is a PBE calculation of a relaxed structure of CaGaCu2Ni2, from Alexandria.

The structure in extended XYZ format:
```
6
Lattice="-4.361 -0.345 0.573 -0.289 -2.438 -3.665 0.752 -4.560 2.974" Properties=species:S:1:pos:R:3 pbc="T T T"
Cu -1.751 -4.875 0.726
Cu -2.147 -2.467 -0.845
Ca 0.376 -2.280 1.487
Ni -2.180 -0.172 0.287
Ni -0.144 -1.219 -1.833
Ga 0.000 0.000 0.000
```

Results
The total magnetization comes out at 0.00 μB per formula unit. For the formation energy, the calculation gives 0.14 eV/atom. Its calculated density is 5500 kg/m3.



8.
The following is a PBE calculation of a relaxed structure of Tl2TeF, from Alexandria.

The structure in extended XYZ format:
```
4
Lattice="3.779 0.000 0.000 1.890 3.273 0.000 1.890 1.091 9.056" Properties=species:S:1:pos:R:3 pbc="T T T"
Te 3.779 2.182 4.492
Tl 1.890 1.091 7.359
Tl 1.890 1.091 1.839
F 5.669 3.273 8.950
```

Results
The calculation puts the energy above the most stable polymorph in this dataset at 0.110 eV/atom. The total magnetization comes out at 0.00 μB per formula unit. Its calculated density is 8232 kg/m3. As for the uncorrected formation energy: -0.84 eV/atom.